1.
Computed, not measured: an optimized crystal structure of BeAlAu2 at the GGA-PBEsol level of DFT.

ΔH_f (0 K): -0.25 eV/atom
magnetization: 0.00 μB per cell

```
data_BeAlAu2
_cell_length_a 8.780
_cell_length_b 3.180
_cell_length_c 4.299
_cell_angle_alpha 90.00
_cell_angle_beta 105.05
_cell_angle_gamma 90.00
_space_group_name_H-M_alt 'C 1 m 1'
_space_group_IT_number 8
loop_
_space_group_symop_operation_xyz
'x,y,z'
'x,-y,z'
'x+1/2,y+1/2,z'
'x+1/2,-y+1/2,z'
loop_
_atom_site_label
_atom_site_type_symbol
_atom_site_fract_x
_atom_site_fract_y
_atom_site_fract_z
Be1 Be 0.000 0.000 0.000
Al1 Al 0.246 0.000 0.659
Au1 Au 0.000 0.500 0.488
Au2 Au 0.232 0.500 0.129
```



2.
Computed, not measured: an optimized crystal structure of BeAlAu2 at the GGA-PBEsol level of DFT.

ΔH_f (0 K): -0.23 eV/atom
magnetization: 0.00 μB per cell

```
data_BeAlAu2
_cell_length_a 3.214
_cell_length_b 4.225
_cell_length_c 4.379
_cell_angle_alpha 90.00
_cell_angle_beta 90.00
_cell_angle_gamma 90.00
_space_group_name_H-M_alt 'P m m 2'
_space_group_IT_number 25
loop_
_space_group_symop_operation_xyz
'x,y,z'
'-x,-y,z'
'-x,y,z'
'x,-y,z'
loop_
_atom_site_label
_atom_site_type_symbol
_atom_site_fract_x
_atom_site_fract_y
_atom_site_fract_z
Be1 Be 0.000 0.000 0.000
Al1 Al 0.500 0.500 0.860
Au1 Au 0.000 0.500 0.298
Au2 Au 0.500 0.000 0.564
```



3.
Computed, not measured: an optimized crystal structure of BeAlAu2 at the GGA-PBEsol level of DFT.

ΔH_f (0 K): -0.12 eV/atom
magnetization: 0.00 μB per cell

```
data_BeAlAu2
_cell_length_a 2.8986
_cell_length_b 2.8986
_cell_length_c 24.1800
_cell_angle_alpha 90.00
_cell_angle_beta 90.00
_cell_angle_gamma 120.00
_space_group_name_H-M_alt 'R -3 m'
_space_group_IT_number 166
_space_group_name_Hall '-R 3 2"'
loop_
_atom_site_label
_atom_site_type_symbol
_atom_site_fract_x
_atom_site_fract_y
_atom_site_fract_z
Be1 Be 0.0000 0.0000 0.0000
Al1 Al 0.0000 0.0000 0.5000
Au1 Au 0.0000 0.0000 0.2572
```



4.
Computed, not measured: an optimized crystal structure of BeAl2Au at the GGA-PBEsol level of DFT.

ΔH_f (0 K): 0.26 eV/atom
magnetization: 0.00 μB per cell

```
data_BeAl2Au
_cell_length_a 7.185
_cell_length_b 7.185
_cell_length_c 5.008
_cell_angle_alpha 90.00
_cell_angle_beta 90.00
_cell_angle_gamma 90.00
_space_group_name_H-M_alt 'I -4 2 d'
_space_group_IT_number 122
_space_group_name_Hall 'I -4 2bw'
loop_
_atom_site_label
_atom_site_type_symbol
_atom_site_fract_x
_atom_site_fract_y
_atom_site_fract_z
Be1 Be 0.000 0.000 0.000
Al1 Al 0.245 0.250 0.125
Au1 Au 0.000 0.000 0.500
```



5.
Computed, not measured: an optimized crystal structure of BeAl2Au at the GGA-PBEsol level of DFT.

ΔH_f (0 K): -0.07 eV/atom
magnetization: 0.00 μB per cell

```
data_BeAl2Au
_cell_length_a 8.395
_cell_length_b 3.173
_cell_length_c 4.455
_cell_angle_alpha 90.00
_cell_angle_beta 97.95
_cell_angle_gamma 90.00
_space_group_name_H-M_alt 'C 1 m 1'
_space_group_IT_number 8
loop_
_space_group_symop_operation_xyz
'x,y,z'
'x,-y,z'
'x+1/2,y+1/2,z'
'x+1/2,-y+1/2,z'
loop_
_atom_site_label
_atom_site_type_symbol
_atom_site_fract_x
_atom_site_fract_y
_atom_site_fract_z
Be1 Be 0.000 0.000 0.000
Al1 Al 0.000 0.500 0.511
Al2 Al 0.252 0.000 0.789
Au1 Au 0.256 0.500 0.259
```



6.
Computed, not measured: an optimized crystal structure of Be2AlAu2 at the GGA-PBEsol level of DFT.

ΔH_f (0 K): -0.20 eV/atom
magnetization: 0.00 μB per cell

```
data_Be2AlAu2
_cell_length_a 3.313
_cell_length_b 3.313
_cell_length_c 12.450
_cell_angle_alpha 90.00
_cell_angle_beta 90.00
_cell_angle_gamma 90.00
_space_group_name_H-M_alt 'I 4/m m m'
_space_group_IT_number 139
_space_group_name_Hall '-I 4 2'
loop_
_atom_site_label
_atom_site_type_symbol
_atom_site_fract_x
_atom_site_fract_y
_atom_site_fract_z
Be1 Be 0.000 0.500 0.250
Al1 Al 0.000 0.000 0.000
Au1 Au 0.000 0.000 0.386
```



7.
Computed, not measured: an optimized crystal structure of BeAlAu2 at the GGA-PBEsol level of DFT.

ΔH_f (0 K): -0.27 eV/atom
magnetization: 0.00 μB per cell

```
data_BeAlAu2
_cell_length_a 3.327
_cell_length_b 3.327
_cell_length_c 5.283
_cell_angle_alpha 90.00
_cell_angle_beta 90.00
_cell_angle_gamma 90.00
_space_group_name_H-M_alt 'P 4 m m'
_space_group_IT_number 99
loop_
_space_group_symop_operation_xyz
'x,y,z'
'-y,x,z'
'-x,-y,z'
'y,-x,z'
'-x,y,z'
'y,x,z'
'x,-y,z'
'-y,-x,z'
loop_
_atom_site_label
_atom_site_type_symbol
_atom_site_fract_x
_atom_site_fract_y
_atom_site_fract_z
Be1 Be 0.000 0.000 0.000
Al1 Al 0.500 0.500 0.291
Au1 Au 0.000 0.000 0.491
Au2 Au 0.500 0.500 0.827
```



8.
Computed, not measured: an optimized crystal structure of BeAlAu2 at the GGA-PBEsol level of DFT.

ΔH_f (0 K): -0.25 eV/atom
magnetization: 0.00 μB per cell

```
data_BeAlAu2
_cell_length_a 3.002
_cell_length_b 3.002
_cell_length_c 6.294
_cell_angle_alpha 90.00
_cell_angle_beta 90.00
_cell_angle_gamma 90.00
_space_group_name_H-M_alt 'P 4/m m m'
_space_group_IT_number 123
_space_group_name_Hall '-P 4 2'
loop_
_atom_site_label
_atom_site_type_symbol
_atom_site_fract_x
_atom_site_fract_y
_atom_site_fract_z
Be1 Be 0.000 0.000 0.000
Al1 Al 0.000 0.000 0.500
Au1 Au 0.500 0.500 0.226
```



9.
Computed, not measured: an optimized crystal structure of BeAl3Au at the GGA-PBEsol level of DFT.

ΔH_f (0 K): 0.69 eV/atom
magnetization: 0.00 μB per cell

```
data_BeAl3Au
_cell_length_a 4.789
_cell_length_b 4.789
_cell_length_c 4.789
_cell_angle_alpha 90.00
_cell_angle_beta 90.00
_cell_angle_gamma 90.00
_space_group_name_H-M_alt 'P m -3 m'
_space_group_IT_number 221
_space_group_name_Hall '-P 4 2 3'
loop_
_atom_site_label
_atom_site_type_symbol
_atom_site_fract_x
_atom_site_fract_y
_atom_site_fract_z
Be1 Be 0.000 0.000 0.000
Al1 Al 0.000 0.500 0.500
Au1 Au 0.500 0.500 0.500
```



10.
Computed, not measured: an optimized crystal structure of Al2BiAu2 at the GGA-PBEsol level of DFT.

ΔH_f (0 K): -0.28 eV/atom
magnetization: 0.00 μB per cell

```
data_Al2BiAu2
_cell_length_a 4.061
_cell_length_b 4.061
_cell_length_c 11.904
_cell_angle_alpha 90.00
_cell_angle_beta 90.00
_cell_angle_gamma 90.00
_space_group_name_H-M_alt 'I 4/m m m'
_space_group_IT_number 139
_space_group_name_Hall '-I 4 2'
loop_
_atom_site_label
_atom_site_type_symbol
_atom_site_fract_x
_atom_site_fract_y
_atom_site_fract_z
Al1 Al 0.000 0.500 0.250
Bi1 Bi 0.000 0.000 0.000
Au1 Au 0.000 0.000 0.382
```



11.
Computed, not measured: an optimized crystal structure of AlBi2Au2 at the GGA-PBEsol level of DFT.

ΔH_f (0 K): 0.21 eV/atom
magnetization: 0.00 μB per cell

```
data_AlBi2Au2
_cell_length_a 8.105
_cell_length_b 8.105
_cell_length_c 3.669
_cell_angle_alpha 90.00
_cell_angle_beta 90.00
_cell_angle_gamma 90.00
_space_group_name_H-M_alt 'P 4/m b m'
_space_group_IT_number 127
_space_group_name_Hall '-P 4 2ab'
loop_
_atom_site_label
_atom_site_type_symbol
_atom_site_fract_x
_atom_site_fract_y
_atom_site_fract_z
Al1 Al 0.000 0.000 0.000
Bi1 Bi 0.183 0.317 0.000
Au1 Au 0.120 0.620 0.500
```



12.
Computed, not measured: an optimized crystal structure of AlBiAu2N at the GGA-PBEsol level of DFT.

magnetization: 0.00 μB per cell
ΔE_f (raw): 0.268 eV per atom

```
data_AlBiAu2N
_cell_length_a 5.149
_cell_length_b 5.149
_cell_length_c 3.516
_cell_angle_alpha 90.00
_cell_angle_beta 90.00
_cell_angle_gamma 90.00
_space_group_name_H-M_alt 'P 4/m m m'
_space_group_IT_number 123
_space_group_name_Hall '-P 4 2'
loop_
_atom_site_label
_atom_site_type_symbol
_atom_site_fract_x
_atom_site_fract_y
_atom_site_fract_z
Al1 Al 0.000 0.000 0.000
Bi1 Bi 0.500 0.500 0.500
Au1 Au 0.000 0.500 0.000
N1 N 0.000 0.000 0.500
```



13.
Computed, not measured: an optimized crystal structure of AlBiPb2Au at the GGA-PBEsol level of DFT.

ΔH_f (0 K): 0.22 eV/atom
magnetization: 0.00 μB per cell

```
data_AlBiPb2Au
_cell_length_a 5.550
_cell_length_b 5.550
_cell_length_c 4.779
_cell_angle_alpha 90.00
_cell_angle_beta 90.00
_cell_angle_gamma 90.00
_space_group_name_H-M_alt 'P 4/m m m'
_space_group_IT_number 123
_space_group_name_Hall '-P 4 2'
loop_
_atom_site_label
_atom_site_type_symbol
_atom_site_fract_x
_atom_site_fract_y
_atom_site_fract_z
Al1 Al 0.000 0.000 0.000
Bi1 Bi 0.500 0.500 0.000
Pb1 Pb 0.000 0.500 0.500
Au1 Au 0.000 0.000 0.500
```



14.
Computed, not measured: an optimized crystal structure of Al2SnBiAu at the GGA-PBEsol level of DFT.

ΔH_f (0 K): 0.23 eV/atom
magnetization: 0.00 μB per cell

```
data_Al2SnBiAu
_cell_length_a 4.759
_cell_length_b 4.759
_cell_length_c 5.835
_cell_angle_alpha 90.00
_cell_angle_beta 90.00
_cell_angle_gamma 90.00
_space_group_name_H-M_alt 'P 4/m m m'
_space_group_IT_number 123
_space_group_name_Hall '-P 4 2'
loop_
_atom_site_label
_atom_site_type_symbol
_atom_site_fract_x
_atom_site_fract_y
_atom_site_fract_z
Al1 Al 0.000 0.500 0.000
Sn1 Sn 0.000 0.000 0.500
Bi1 Bi 0.500 0.500 0.500
Au1 Au 0.500 0.500 0.000
```